Record 1
Entry from Alexandria via LeMat-Bulk: an optimized crystal structure of CeCoRhO6 (GGA+U).

Properties
Fermi-level density of states   10.74 states/eV per cell
E   -61.32 eV per formula unit
Space-group type   P4_2nm

Lattice parameters (Å, degrees): 4.786 4.786 9.708 90.00 90.00 90.00
Fractional coordinates of all 18 atoms:
Ce 0.000 0.000 0.000
Ce 0.500 0.500 0.500
Co 0.000 0.000 0.660
Co 0.500 0.500 0.160
Rh 0.000 0.000 0.329
Rh 0.500 0.500 0.829
O 0.179 0.179 0.491
O 0.215 0.215 0.178
O 0.216 0.216 0.816
O 0.284 0.716 0.316
O 0.285 0.715 0.678
O 0.321 0.679 0.991
O 0.679 0.321 0.991
O 0.715 0.285 0.678
O 0.716 0.284 0.316
O 0.784 0.784 0.816
O 0.785 0.785 0.178
O 0.821 0.821 0.491

Record 2
Entry from Alexandria via LeMat-Bulk: an optimized crystal structure of CeTaCoO6 (GGA+U).

Properties
E   -74.24 eV per formula unit
Space-group type   P4_2nm

Lattice parameters (Å, degrees): 4.841 4.841 9.764 90.00 90.00 90.00
Fractional coordinates of all 18 atoms:
Ce 0.000 0.000 0.000
Ce 0.500 0.500 0.500
Ta 0.000 0.000 0.663
Ta 0.500 0.500 0.163
Co 0.000 0.000 0.328
Co 0.500 0.500 0.828
O 0.179 0.179 0.496
O 0.207 0.207 0.807
O 0.209 0.209 0.174
O 0.291 0.709 0.674
O 0.293 0.707 0.307
O 0.321 0.679 0.996
O 0.679 0.321 0.996
O 0.707 0.293 0.307
O 0.709 0.291 0.674
O 0.791 0.791 0.174
O 0.793 0.793 0.807
O 0.821 0.821 0.496

Record 3
Entry from Alexandria via LeMat-Bulk: an optimized crystal structure of CeCoTeO6 (GGA+U).

Properties
Fermi-level density of states   0.00 states/eV per cell
E   -58.76 eV per formula unit
Space-group type   P-31c

Lattice parameters (Å, degrees): 5.553 5.553 8.748 90.00 90.00 120.00
Fractional coordinates of all 18 atoms:
Ce 0.333 0.667 0.250
Ce 0.667 0.333 0.750
Co 0.000 0.000 0.000
Co 0.000 0.000 0.500
Te 0.333 0.667 0.750
Te 0.667 0.333 0.250
O 0.043 0.364 0.628
O 0.043 0.679 0.872
O 0.321 0.364 0.872
O 0.321 0.957 0.628
O 0.364 0.043 0.128
O 0.364 0.321 0.372
O 0.636 0.679 0.628
O 0.636 0.957 0.872
O 0.679 0.043 0.372
O 0.679 0.636 0.128
O 0.957 0.321 0.128
O 0.957 0.636 0.372